Record 1
A plane-wave DFT calculation with meta-GGA SCAN was carried out for a crystal of ErCo2Ge2 relaxed with PBEsol.

CIF file:
```
data_ErCo2Ge2
_cell_length_a 3.880
_cell_length_b 3.880
_cell_length_c 9.948
_cell_angle_alpha 90.00
_cell_angle_beta 90.00
_cell_angle_gamma 90.00
_symmetry_space_group_name_H-M 'I 4/m m m'
_symmetry_Int_Tables_number 139
_symmetry_space_group_name_Hall '-I 4 2'
loop_
_atom_site_label
_atom_site_type_symbol
_atom_site_fract_x
_atom_site_fract_y
_atom_site_fract_z
Er1 Er 0.000 0.000 0.000
Co1 Co 0.000 0.500 0.250
Ge1 Ge 0.000 0.000 0.373
```

Summary:
mass density	9.5	g cm⁻³
formation energy from the elements	-614	meV per atom


Record 2
A plane-wave DFT calculation with meta-GGA SCAN was carried out for a crystal of Er7CoI12 relaxed with PBEsol.

CIF file:
```
data_Er7CoI12
_cell_length_a 15.0841
_cell_length_b 15.0841
_cell_length_c 10.5713
_cell_angle_alpha 90.00
_cell_angle_beta 90.00
_cell_angle_gamma 120.00
_symmetry_space_group_name_H-M 'R -3'
_symmetry_Int_Tables_number 148
_symmetry_space_group_name_Hall '-R 3'
loop_
_atom_site_label
_atom_site_type_symbol
_atom_site_fract_x
_atom_site_fract_y
_atom_site_fract_z
Er1 Er 0.0000 0.0000 0.0000
Er2 Er 0.0420 0.8869 0.3649
Co1 Co 0.0000 0.0000 0.5000
I1 I 0.0153 0.4286 0.1573
I2 I 0.0498 0.8697 0.8383
```

Summary:
mass density	6.6	g cm⁻³
energy relative to the elements, uncorrected	-1.2989	eV/atom


Record 3
A plane-wave DFT calculation with meta-GGA SCAN was carried out for a crystal of ErInCo4 relaxed with PBEsol.

CIF file:
```
data_ErInCo4
_cell_length_a 6.905
_cell_length_b 6.905
_cell_length_c 6.905
_cell_angle_alpha 90.00
_cell_angle_beta 90.00
_cell_angle_gamma 90.00
_symmetry_space_group_name_H-M 'F -4 3 m'
_symmetry_Int_Tables_number 216
_symmetry_space_group_name_Hall 'F -4 2 3'
loop_
_atom_site_label
_atom_site_type_symbol
_atom_site_fract_x
_atom_site_fract_y
_atom_site_fract_z
Er1 Er 0.000 0.000 0.000
In1 In 0.250 0.250 0.750
Co1 Co 0.124 0.124 0.376
```

Summary:
mass density	10.4	g cm⁻³
formation energy from the elements	-118	meV per atom


Record 4
A plane-wave DFT calculation with meta-GGA SCAN was carried out for a crystal of Er4MgCo relaxed with PBEsol.

CIF file:
```
data_Er4MgCo
_cell_length_a 13.192
_cell_length_b 13.192
_cell_length_c 13.192
_cell_angle_alpha 90.00
_cell_angle_beta 90.00
_cell_angle_gamma 90.00
_symmetry_space_group_name_H-M 'F -4 3 m'
_symmetry_Int_Tables_number 216
_symmetry_space_group_name_Hall 'F -4 2 3'
loop_
_atom_site_label
_atom_site_type_symbol
_atom_site_fract_x
_atom_site_fract_y
_atom_site_fract_z
Er1 Er 0.000 0.000 0.186
Er2 Er 0.062 0.250 0.750
Er3 Er 0.156 0.156 0.344
Mg1 Mg 0.080 0.080 0.580
Co1 Co 0.141 0.141 0.141
```

Summary:
mass density	8.7	g cm⁻³
formation energy from the elements	-130	meV per atom